1.
DFT (PBE) results for Ca8InIr2 after structural relaxation. Values from VASP.

The structure in Quantum ESPRESSO input format:
```
&SYSTEM
  ibrav = 0, nat = 11, ntyp = 3
/
ATOMIC_SPECIES
Ir 192.22 Ir.upf
Ca 40.08 Ca.upf
In 114.82 In.upf
CELL_PARAMETERS angstrom
-5.3034 2.0137 -3.5879
-2.4758 -6.8670 2.6547
1.3114 5.4846 5.9970
ATOMIC_POSITIONS crystal
Ir 0.2241 0.2695 0.5389
Ca 0.6190 0.3586 0.9193
Ca 0.7994 0.9382 0.1876
In 0.3740 0.9194 0.8390
Ir 0.5979 0.6435 0.2869
Ca 0.9671 0.4983 0.4196
Ca 0.9583 0.0231 0.6410
Ca 0.5917 0.6182 0.6409
Ca 0.2977 0.2494 0.1878
Ca 0.3616 0.9213 0.4196
Ca 0.2093 0.5606 0.9194
```

As for the space group: P1 (1).


2.
DFT (PBE) results for Ca3InIr after structural relaxation. Values from VASP.

The structure in Quantum ESPRESSO input format:
```
&SYSTEM
  ibrav = 0, nat = 10, ntyp = 3
/
ATOMIC_SPECIES
Ca 40.08 Ca.upf
Ir 192.22 Ir.upf
In 114.82 In.upf
CELL_PARAMETERS angstrom
-2.7159 0.4736 -5.2736
-3.7377 -1.3893 4.4172
1.8816 8.6061 1.8524
ATOMIC_POSITIONS crystal
Ca 0.9175 0.8075 0.7250
Ca 0.0825 0.1925 0.2750
Ca 0.2966 0.7966 0.0933
Ca 0.7034 0.2034 0.9067
Ir 0.7499 0.7499 0.0000
In 0.7143 0.2143 0.5000
In 0.2857 0.7857 0.5000
Ca 0.3075 0.4174 0.7249
Ca 0.6925 0.5826 0.2751
Ir 0.2501 0.2501 0.0000
```

As for the space group: Fmmm (69).


3.
DFT (PBE) results for CaIn2Ir after structural relaxation. Values from VASP.

The structure in Quantum ESPRESSO input format:
```
&SYSTEM
  ibrav = 0, nat = 4, ntyp = 3
/
ATOMIC_SPECIES
Ca 40.08 Ca.upf
Ir 192.22 Ir.upf
In 114.82 In.upf
CELL_PARAMETERS angstrom
-0.2724 -1.3870 4.7342
4.1008 -0.2324 2.7460
0.7593 3.3076 3.5909
ATOMIC_POSITIONS crystal
Ca 0.5000 0.5000 0.5000
Ir 0.7500 0.7500 0.7500
In 0.0000 0.0000 0.0000
In 0.2500 0.2500 0.2500
```

As for the space group: F-43m (216).


no.,formation enthalpy at 0 K (eV per formula unit)
1,-3.1
2,-1.8
3,-0.3